{
  "formula": "Pr6Te5As",
  "functional": "GGA-PBE",
  "state": "relaxed",
  "lattice": [[-2.587, 6.633, 3.209], [-7.645, 0.701, -1.317], [-5.117, -2.941, 5.101]],
  "species": ["Pr", "Pr", "Pr", "Pr", "Pr", "Pr", "Te", "Te", "Te", "Te", "Te", "As"],
  "fractional_positions": [[0.768, 0.386, 0.691], [0.232, 0.923, 0.691], [0.763, 0.771, 0.000], [0.768, 0.077, 0.309], [0.237, 0.229, 0.000], [0.232, 0.614, 0.309], [0.000, 0.665, 0.669], [0.500, 0.174, 0.652], [0.500, 0.826, 0.348], [0.000, 0.335, 0.331], [0.500, 0.500, 0.000], [0.000, 0.000, 0.000]],
  "raw_formation_energy_ev_per_fu": -17.842,
  "e_tot_ev_per_atom": -5.573
}

***

{
  "formula": "SmDyIr",
  "functional": "GGA-PBE",
  "state": "relaxed",
  "lattice": [[-1.053, 2.243, -3.476], [-5.387, 0.788, 2.141], [6.736, 3.957, 3.134]],
  "species": ["Ir", "Ir", "Sm", "Sm", "Dy", "Dy"],
  "fractional_positions": [[0.773, 0.865, 0.546], [0.227, 0.135, 0.454], [0.408, 0.119, 0.816], [0.592, 0.881, 0.184], [0.836, 0.496, 0.672], [0.164, 0.504, 0.328]],
  "ef_ev_per_atom": -0.58,
  "e_tot_ev_per_atom": -6.637,
  "e_above_lowest_polymorph_mev_per_atom": 59
}

***

{
  "formula": "PmPr5Dy2",
  "functional": "GGA-PBE",
  "state": "relaxed",
  "lattice": [[-3.969, -8.675, -3.493], [4.254, 0.108, -5.102], [4.165, -0.093, 10.271]],
  "species": ["Pr", "Pr", "Pr", "Pr", "Pr", "Pr", "Pr", "Pr", "Pr", "Pr", "Dy", "Dy", "Dy", "Dy", "Pm", "Pm"],
  "fractional_positions": [[0.057, 0.250, 0.000], [0.943, 0.750, 0.000], [0.690, 0.046, 0.190], [0.500, 0.454, 0.810], [0.884, 0.615, 0.594], [0.710, 0.115, 0.594], [0.290, 0.885, 0.406], [0.500, 0.546, 0.190], [0.310, 0.954, 0.810], [0.116, 0.385, 0.406], [0.824, 0.525, 0.159], [0.665, 0.975, 0.841], [0.335, 0.025, 0.159], [0.176, 0.475, 0.841], [0.500, 0.500, 0.500], [0.000, 0.000, 0.500]],
  "ef_ev_per_atom": 0.14,
  "e_tot_ev_per_atom": -4.587,
  "e_above_lowest_polymorph_mev_per_atom": 132
}

***

{
  "formula": "CoCuH2Au",
  "functional": "GGA-PBE",
  "state": "relaxed",
  "lattice": [[-2.951, -0.639, 1.680], [-0.328, -4.195, -2.171], [1.781, -1.469, 2.571]],
  "species": ["H", "H", "Au", "Cu", "Co"],
  "fractional_positions": [[0.500, 0.000, 0.000], [0.000, 0.000, 0.500], [0.500, 0.500, 0.500], [0.000, 0.500, 0.000], [0.000, 0.000, 0.000]],
  "e_tot_ev_per_atom": -3.659
}

***

{
  "formula": "LaZnB",
  "functional": "GGA-PBE",
  "state": "relaxed",
  "lattice": [[-3.473, 0.359, 8.295], [2.658, -1.372, 1.172], [0.468, 4.316, -0.395]],
  "species": ["La", "La", "B", "B", "Zn", "Zn"],
  "fractional_positions": [[0.735, 0.357, 0.514], [0.333, 0.324, 0.446], [0.538, 0.615, 0.028], [0.530, 0.066, 0.931], [0.073, 0.989, 0.776], [0.995, 0.692, 0.184]],
  "ef_ev_per_atom": -0.25,
  "e_tot_ev_per_atom": -4.548,
  "e_above_lowest_polymorph_mev_per_atom": 48
}

***

{
  "formula": "ScSn2Rh4",
  "functional": "GGA-PBE",
  "state": "relaxed",
  "lattice": [[-3.123, -2.061, -2.698], [2.065, -4.063, 0.713], [-4.462, -4.121, 4.369]],
  "species": ["Sn", "Sn", "Sc", "Rh", "Rh", "Rh", "Rh"],
  "fractional_positions": [[0.375, 0.375, 0.251], [0.625, 0.625, 0.749], [0.000, 0.000, 0.000], [0.500, 0.000, 0.000], [0.185, 0.185, 0.630], [0.000, 0.500, 0.000], [0.815, 0.815, 0.370]],
  "ef_ev_per_atom": 0.26,
  "e_tot_ev_per_atom": -5.991,
  "e_above_lowest_polymorph_mev_per_atom": 868
}